Entry 1:
The following is a DFT calculation (PBE) of CoGe after structural relaxation. Values from VASP.

Computed properties:
final energy	-5.9161	eV per atom
crystal system	orthorhombic
calculated density	8.5	Mg/m³
D(E_F)	1.9	states/eV/f.u.

Quantum ESPRESSO input file:
```
&SYSTEM
  ibrav = 0, nat = 12, ntyp = 2
/
ATOMIC_SPECIES
Co 58.93 Co.upf
Ge 72.64 Ge.upf
CELL_PARAMETERS angstrom
4.627 0.000 0.000
0.000 4.022 0.000
0.000 0.000 8.264
ATOMIC_POSITIONS angstrom
Co 0.000 0.516 5.509
Co 2.313 3.506 6.886
Co 2.313 3.506 1.377
Co 0.000 0.516 2.755
Co 0.000 0.515 0.000
Co 2.313 3.508 4.132
Ge 0.000 2.563 6.886
Ge 2.313 1.459 5.509
Ge 2.313 1.459 2.755
Ge 0.000 2.563 1.377
Ge 0.000 2.564 4.132
Ge 2.313 1.458 0.000
```

Entry 2:
The following is a DFT calculation (PBE) of CaAcPm2 after structural relaxation. Values from VASP.

Computed properties:
final energy	-3.8263	eV per atom
crystal system	hexagonal
calculated density	6.0	Mg/m³
offset from the most stable computed form	21	meV per atom
D(E_F)	6.4	states/eV/f.u.

Quantum ESPRESSO input file:
```
&SYSTEM
  ibrav = 0, nat = 4, ntyp = 3
/
ATOMIC_SPECIES
Ca 40.08 Ca.upf
Ac 227.00 Ac.upf
Pm 145.00 Pm.upf
CELL_PARAMETERS angstrom
-0.886 -1.061 3.520
3.531 -0.446 -1.277
2.940 11.356 4.162
ATOMIC_POSITIONS angstrom
Ca -0.003 -0.938 2.562
Ac 4.414 5.150 1.442
Pm 2.209 2.119 2.006
Pm 3.673 7.771 4.077
```